Below is a geometry-optimized TeRuW2 structure, with properties calculated at the PBE-GGA level.

Its formation energy without anion corrections is 0.686 eV per atom.

The structure belongs to space group I-4m2 (No. 119); the cell edges are 4.065, 4.065 and 8.065 Å and the angles 90.00°, 90.00° and 90.00°. The distinct sites, in fractional coordinates, are Te at (0.000, 0.000, 0.000), Ru at (0.000, 0.500, 0.250), W at (0.000, 0.000, 0.500) and W at (0.000, 0.500, 0.750).


Below is a geometry-optimized Cu5Pd2Pt structure, with properties calculated at the PBE-GGA level.

The calculation puts the formation energy at -0.1206 eV/atom.

The structure belongs to space group I4/mmm (No. 139); the cell edges are 3.846, 3.846 and 14.474 Å and the angles 90.00°, 90.00° and 90.00°. The distinct sites, in fractional coordinates, are Cu at (0.000, 0.000, 0.000), Cu at (0.000, 0.500, 0.122), Pd at (0.000, 0.000, 0.250) and Pt at (0.000, 0.000, 0.500).


Below is a geometry-optimized Cs2PaMn2S6 structure, with properties calculated at the PBE-GGA level.

Its formation energy without anion corrections is -0.982 eV per atom.

The structure belongs to space group R-3m (No. 166, hexagonal axes); the cell edges are 7.2939, 7.2939 and 19.2049 Å and the angles 90.00°, 90.00° and 120.00°. The distinct sites, in fractional coordinates, are Cs at (0.0000, 0.0000, 0.2395), Pa at (0.0000, 0.0000, 0.0000), Mn at (0.0000, 0.0000, 0.4479) and S at (0.0052, 0.5026, 0.2530).


Below is a geometry-optimized PaTlS4 structure, with properties calculated at the PBE-GGA level.

Its formation energy without anion corrections is -0.968 eV per atom.

The structure belongs to space group Cmme (No. 67); the cell edges are 7.997, 9.591 and 7.998 Å and the angles 90.00°, 90.00° and 90.00°. The distinct sites, in fractional coordinates, are Pa at (0.250, 0.000, 0.000), Tl at (0.250, 0.000, 0.500), S at (0.000, 0.082, 0.193) and S at (0.131, 0.250, 0.820).


Below is a geometry-optimized Sc5In2AgRh2 structure, with properties calculated at the PBE-GGA level.

The calculation puts the formation energy at -0.5642 eV/atom.

The structure belongs to space group P4/mbm (No. 127); the cell edges are 11.076, 11.076 and 3.433 Å and the angles 90.00°, 90.00° and 90.00°. The distinct sites, in fractional coordinates, are Sc at (0.000, 0.500, 0.000), Sc at (0.075, 0.201, 0.000), In at (0.171, 0.671, 0.500), Ag at (0.000, 0.000, 0.500) and Rh at (0.133, 0.367, 0.500).


Below is a geometry-optimized In2NiP structure, with properties calculated at the PBE-GGA level.

The calculation puts the formation energy at 0.3350 eV/atom.

The structure belongs to space group I-42d (No. 122); the cell edges are 6.453, 6.453 and 9.512 Å and the angles 90.00°, 90.00° and 90.00°. The distinct sites, in fractional coordinates, are In at (0.246, 0.250, 0.125), Ni at (0.000, 0.000, 0.000) and P at (0.000, 0.000, 0.500).


Below is a geometry-optimized DyCu4 structure, with properties calculated at the PBE-GGA level.

The calculation puts the formation energy at -0.1241 eV/atom.

The structure belongs to space group I-43m (No. 217); the cell edges are 8.601, 8.601 and 8.601 Å and the angles 90.00°, 90.00° and 90.00°. The distinct sites, in fractional coordinates, are Dy at (0.215, 0.215, 0.785), Cu at (0.000, 0.000, 0.356), Cu at (0.000, 0.250, 0.500) and Cu at (0.102, 0.102, 0.102).


Below is a geometry-optimized TbPbSe2 structure, with properties calculated at the PBE-GGA level.

Its formation energy without anion corrections is -1.183 eV per atom.

The structure belongs to space group R3m (No. 160, hexagonal axes); the cell edges are 4.0158, 4.0158 and 24.5424 Å and the angles 90.00°, 90.00° and 120.00°. The distinct sites, in fractional coordinates, are Tb at (0.0000, 0.0000, 0.0000), Pb at (0.0000, 0.0000, 0.8341), Se at (0.0000, 0.0000, 0.4020) and Se at (0.0000, 0.0000, 0.5973).


These records have M_tot values of 0.00, 0.00, 9.07, 0.00, 0.00, 0.00, 0.00, 0.00 μB/cell, in the order they appear.